[1]
# PBE ErTm15In4, relaxed
# D(E_F)	25.18	states/eV/f.u.
# formation energy from the elements	-0.1962	eV per atom
# final energy	-4.326	eV/atom
data_ErTm15In4
_chemical_formula_sum 'Er1 Tm15 In4'
_symmetry_space_group_name_H-M 'P 1'
_symmetry_Int_Tables_number 1
_cell_length_a 4.795
_cell_length_b 4.795
_cell_length_c 24.303
_cell_angle_alpha 90.00
_cell_angle_beta 90.00
_cell_angle_gamma 90.00
loop_
_symmetry_equiv_pos_as_xyz
'x,y,z'
loop_
_atom_site_label
_atom_site_fract_x
_atom_site_fract_y
_atom_site_fract_z
_atom_site_occupancy
Er1 0.000 0.000 0.000 1
Tm1 0.500 0.500 0.000 1
Tm2 0.500 0.500 0.205 1
Tm3 0.500 0.500 0.401 1
Tm4 0.500 0.500 0.599 1
Tm5 0.500 0.500 0.795 1
Tm6 0.500 0.000 0.104 1
Tm7 0.500 0.000 0.303 1
Tm8 0.500 0.000 0.500 1
Tm9 0.500 0.000 0.697 1
Tm10 0.500 0.000 0.896 1
Tm11 0.000 0.500 0.104 1
Tm12 0.000 0.500 0.303 1
Tm13 0.000 0.500 0.500 1
Tm14 0.000 0.500 0.697 1
Tm15 0.000 0.500 0.896 1
In1 0.000 0.000 0.205 1
In2 0.000 0.000 0.402 1
In3 0.000 0.000 0.598 1
In4 0.000 0.000 0.795 1

[2]
# PBE Er3Tm9In2, relaxed
# D(E_F)	13.82	states/eV/f.u.
# formation energy from the elements	-0.0050	eV per atom
# final energy	-4.249	eV/atom
data_Er3Tm9In2
_chemical_formula_sum 'Er3 Tm9 In2'
_symmetry_space_group_name_H-M 'P 1'
_symmetry_Int_Tables_number 1
_cell_length_a 5.126
_cell_length_b 9.364
_cell_length_c 9.364
_cell_angle_alpha 90.87
_cell_angle_beta 74.11
_cell_angle_gamma 74.11
loop_
_symmetry_equiv_pos_as_xyz
'x,y,z'
loop_
_atom_site_label
_atom_site_fract_x
_atom_site_fract_y
_atom_site_fract_z
_atom_site_occupancy
Er1 0.000 0.000 0.000 1
Er2 0.708 0.292 0.292 1
Er3 0.292 0.708 0.708 1
Tm1 0.000 0.500 0.500 1
Tm2 0.635 0.979 0.751 1
Tm3 0.365 0.021 0.249 1
Tm4 0.635 0.751 0.979 1
Tm5 0.365 0.249 0.021 1
Tm6 0.865 0.872 0.398 1
Tm7 0.135 0.128 0.602 1
Tm8 0.865 0.398 0.872 1
Tm9 0.135 0.602 0.128 1
In1 0.500 0.340 0.660 1
In2 0.500 0.660 0.340 1

[3]
# PBE ErTm2In, relaxed
# D(E_F)	4.35	states/eV/f.u.
# formation energy from the elements	-0.1487	eV per atom
# final energy	-4.210	eV/atom
data_ErTm2In
_chemical_formula_sum 'Er1 Tm2 In1'
_symmetry_space_group_name_H-M 'P 1'
_symmetry_Int_Tables_number 1
_cell_length_a 3.518
_cell_length_b 3.518
_cell_length_c 11.017
_cell_angle_alpha 80.81
_cell_angle_beta 80.81
_cell_angle_gamma 60.00
loop_
_symmetry_equiv_pos_as_xyz
'x,y,z'
loop_
_atom_site_label
_atom_site_fract_x
_atom_site_fract_y
_atom_site_fract_z
_atom_site_occupancy
Er1 0.500 0.500 0.500 1
Tm1 0.080 0.080 0.761 1
Tm2 0.254 0.254 0.238 1
In1 0.667 0.667 0.000 1

[4]
# PBE Er2Tm3In, relaxed
# D(E_F)	7.52	states/eV/f.u.
# formation energy from the elements	-0.0933	eV per atom
# final energy	-4.306	eV/atom
data_Er2Tm3In
_chemical_formula_sum 'Er4 Tm6 In2'
_symmetry_space_group_name_H-M 'P 1'
_symmetry_Int_Tables_number 1
_cell_length_a 6.062
_cell_length_b 6.914
_cell_length_c 9.025
_cell_angle_alpha 90.00
_cell_angle_beta 109.60
_cell_angle_gamma 90.00
loop_
_symmetry_equiv_pos_as_xyz
'x,y,z'
loop_
_atom_site_label
_atom_site_fract_x
_atom_site_fract_y
_atom_site_fract_z
_atom_site_occupancy
Er1 0.703 0.750 0.372 1
Er2 0.669 0.250 0.372 1
Er3 0.331 0.750 0.628 1
Er4 0.297 0.250 0.628 1
Tm1 0.686 0.250 0.000 1
Tm2 0.314 0.750 0.000 1
Tm3 0.138 0.000 0.277 1
Tm4 0.862 0.500 0.723 1
Tm5 0.138 0.500 0.277 1
Tm6 0.862 0.000 0.723 1
In1 0.803 0.750 0.000 1
In2 0.197 0.250 0.000 1

[5]
# PBE ErTm2In4, relaxed
# D(E_F)	4.96	states/eV/f.u.
# formation energy from the elements	-0.3070	eV per atom
# final energy	-3.801	eV/atom
data_ErTm2In4
_chemical_formula_sum 'Er1 Tm2 In4'
_symmetry_space_group_name_H-M 'P 1'
_symmetry_Int_Tables_number 1
_cell_length_a 6.356
_cell_length_b 6.356
_cell_length_c 6.356
_cell_angle_alpha 109.67
_cell_angle_beta 109.37
_cell_angle_gamma 109.37
loop_
_symmetry_equiv_pos_as_xyz
'x,y,z'
loop_
_atom_site_label
_atom_site_fract_x
_atom_site_fract_y
_atom_site_fract_z
_atom_site_occupancy
Tm1 0.500 0.500 0.000 1
Tm2 0.500 0.000 0.500 1
In1 0.500 0.000 0.000 1
In2 0.500 0.500 0.500 1
In3 0.000 0.000 0.500 1
In4 0.000 0.500 0.000 1
Er1 0.000 0.000 0.000 1

[6]
# PBE Er3Tm2In4, relaxed
# D(E_F)	6.69	states/eV/f.u.
# formation energy from the elements	-0.2213	eV per atom
# final energy	-3.953	eV/atom
data_Er3Tm2In4
_chemical_formula_sum 'Er6 Tm4 In8'
_symmetry_space_group_name_H-M 'P 1'
_symmetry_Int_Tables_number 1
_cell_length_a 6.891
_cell_length_b 9.715
_cell_length_c 8.421
_cell_angle_alpha 90.00
_cell_angle_beta 114.15
_cell_angle_gamma 90.00
loop_
_symmetry_equiv_pos_as_xyz
'x,y,z'
loop_
_atom_site_label
_atom_site_fract_x
_atom_site_fract_y
_atom_site_fract_z
_atom_site_occupancy
Er1 0.000 0.000 0.000 1
Er2 0.500 0.500 0.000 1
Er3 0.532 0.750 0.564 1
Er4 0.968 0.250 0.436 1
Er5 0.468 0.250 0.436 1
Er6 0.032 0.750 0.564 1
Tm1 0.107 0.539 0.213 1
Tm2 0.893 0.461 0.787 1
Tm3 0.393 0.039 0.787 1
Tm4 0.607 0.961 0.213 1
In1 0.740 0.750 0.980 1
In2 0.760 0.250 0.020 1
In3 0.260 0.250 0.020 1
In4 0.240 0.750 0.980 1
In5 0.195 0.978 0.390 1
In6 0.805 0.022 0.610 1
In7 0.305 0.478 0.610 1
In8 0.695 0.522 0.390 1

[7]
# PBE Er2TmIn9, relaxed
# D(E_F)	4.75	states/eV/f.u.
# formation energy from the elements	-0.3780	eV per atom
# final energy	-3.565	eV/atom
data_Er2TmIn9
_chemical_formula_sum 'Er2 Tm1 In9'
_symmetry_space_group_name_H-M 'P 1'
_symmetry_Int_Tables_number 1
_cell_length_a 4.618
_cell_length_b 4.618
_cell_length_c 13.859
_cell_angle_alpha 90.00
_cell_angle_beta 90.00
_cell_angle_gamma 90.00
loop_
_symmetry_equiv_pos_as_xyz
'x,y,z'
loop_
_atom_site_label
_atom_site_fract_x
_atom_site_fract_y
_atom_site_fract_z
_atom_site_occupancy
Er1 0.000 0.000 0.333 1
Er2 0.000 0.000 0.667 1
Tm1 0.000 0.000 0.000 1
In1 0.500 0.500 0.000 1
In2 0.500 0.500 0.333 1
In3 0.500 0.500 0.667 1
In4 0.500 0.000 0.166 1
In5 0.500 0.000 0.500 1
In6 0.500 0.000 0.834 1
In7 0.000 0.500 0.166 1
In8 0.000 0.500 0.500 1
In9 0.000 0.500 0.834 1

[8]
# PBE Er6Tm3In, relaxed
# D(E_F)	14.32	states/eV/f.u.
# formation energy from the elements	-0.0320	eV per atom
# final energy	-4.385	eV/atom
data_Er6Tm3In
_chemical_formula_sum 'Er12 Tm6 In2'
_symmetry_space_group_name_H-M 'P 1'
_symmetry_Int_Tables_number 1
_cell_length_a 3.501
_cell_length_b 12.696
_cell_length_c 15.814
_cell_angle_alpha 121.39
_cell_angle_beta 90.00
_cell_angle_gamma 90.00
loop_
_symmetry_equiv_pos_as_xyz
'x,y,z'
loop_
_atom_site_label
_atom_site_fract_x
_atom_site_fract_y
_atom_site_fract_z
_atom_site_occupancy
Er1 0.750 0.597 0.711 1
Er2 0.250 0.403 0.289 1
Er3 0.750 0.859 0.105 1
Er4 0.250 0.141 0.895 1
Er5 0.750 0.381 0.099 1
Er6 0.250 0.619 0.901 1
Er7 0.750 0.663 0.307 1
Er8 0.250 0.337 0.693 1
Er9 0.750 0.116 0.478 1
Er10 0.250 0.884 0.522 1
Er11 0.750 0.879 0.716 1
Er12 0.250 0.121 0.284 1
Tm1 0.750 0.388 0.898 1
Tm2 0.250 0.612 0.102 1
Tm3 0.750 0.618 0.496 1
Tm4 0.250 0.382 0.504 1
Tm5 0.750 0.124 0.092 1
Tm6 0.250 0.876 0.908 1
In1 0.750 0.119 0.697 1
In2 0.250 0.881 0.303 1

[9]
# PBE Er2Tm6In3, relaxed
# D(E_F)	13.42	states/eV/f.u.
# formation energy from the elements	0.0382	eV per atom
# final energy	-3.977	eV/atom
data_Er2Tm6In3
_chemical_formula_sum 'Er2 Tm6 In3'
_symmetry_space_group_name_H-M 'P 1'
_symmetry_Int_Tables_number 1
_cell_length_a 4.484
_cell_length_b 4.484
_cell_length_c 16.785
_cell_angle_alpha 97.68
_cell_angle_beta 97.68
_cell_angle_gamma 90.00
loop_
_symmetry_equiv_pos_as_xyz
'x,y,z'
loop_
_atom_site_label
_atom_site_fract_x
_atom_site_fract_y
_atom_site_fract_z
_atom_site_occupancy
Er1 0.454 0.454 0.909 1
Er2 0.546 0.546 0.091 1
Tm1 0.127 0.627 0.255 1
Tm2 0.627 0.127 0.255 1
Tm3 0.873 0.373 0.745 1
Tm4 0.373 0.873 0.745 1
Tm5 0.712 0.712 0.425 1
Tm6 0.288 0.288 0.575 1
In1 0.000 0.000 0.000 1
In2 0.806 0.806 0.612 1
In3 0.194 0.194 0.388 1

[10]
# PBE Er3Tm12In, relaxed
# D(E_F)	19.03	states/eV/f.u.
# formation energy from the elements	-0.0418	eV per atom
# final energy	-4.422	eV/atom
data_Er3Tm12In
_chemical_formula_sum 'Er3 Tm12 In1'
_symmetry_space_group_name_H-M 'P 1'
_symmetry_Int_Tables_number 1
_cell_length_a 4.886
_cell_length_b 4.886
_cell_length_c 19.761
_cell_angle_alpha 90.00
_cell_angle_beta 90.00
_cell_angle_gamma 90.00
loop_
_symmetry_equiv_pos_as_xyz
'x,y,z'
loop_
_atom_site_label
_atom_site_fract_x
_atom_site_fract_y
_atom_site_fract_z
_atom_site_occupancy
Er1 0.000 0.000 0.248 1
Er2 0.000 0.000 0.500 1
Er3 0.000 0.000 0.752 1
Tm1 0.500 0.500 0.000 1
Tm2 0.500 0.500 0.244 1
Tm3 0.500 0.500 0.500 1
Tm4 0.500 0.500 0.756 1
Tm5 0.500 0.000 0.122 1
Tm6 0.500 0.000 0.373 1
Tm7 0.500 0.000 0.627 1
Tm8 0.500 0.000 0.878 1
Tm9 0.000 0.500 0.122 1
Tm10 0.000 0.500 0.373 1
Tm11 0.000 0.500 0.627 1
Tm12 0.000 0.500 0.878 1
In1 0.000 0.000 0.000 1

[11]
# PBE Er4Tm9In11, relaxed
# D(E_F)	19.09	states/eV/f.u.
# formation energy from the elements	-0.3509	eV per atom
# final energy	-4.043	eV/atom
data_Er4Tm9In11
_chemical_formula_sum 'Er4 Tm9 In11'
_symmetry_space_group_name_H-M 'P 1'
_symmetry_Int_Tables_number 1
_cell_length_a 3.418
_cell_length_b 13.656
_cell_length_c 13.656
_cell_angle_alpha 99.41
_cell_angle_beta 90.00
_cell_angle_gamma 90.00
loop_
_symmetry_equiv_pos_as_xyz
'x,y,z'
loop_
_atom_site_label
_atom_site_fract_x
_atom_site_fract_y
_atom_site_fract_z
_atom_site_occupancy
Er1 0.500 0.570 0.736 1
Er2 0.500 0.430 0.264 1
Er3 0.500 0.736 0.570 1
Er4 0.500 0.264 0.430 1
Tm1 0.500 0.624 0.144 1
Tm2 0.500 0.376 0.856 1
Tm3 0.500 0.144 0.624 1
Tm4 0.500 0.856 0.376 1
Tm5 0.500 0.792 0.971 1
Tm6 0.500 0.208 0.029 1
Tm7 0.500 0.971 0.792 1
Tm8 0.500 0.029 0.208 1
Tm9 0.500 0.500 0.500 1
In1 0.000 0.582 0.935 1
In2 0.000 0.418 0.065 1
In3 0.000 0.935 0.582 1
In4 0.000 0.065 0.418 1
In5 0.000 0.638 0.362 1
In6 0.000 0.362 0.638 1
In7 0.000 0.828 0.172 1
In8 0.000 0.172 0.828 1
In9 0.000 0.000 0.000 1
In10 0.000 0.770 0.770 1
In11 0.000 0.230 0.230 1